No. 1
Material: CsCSe
Method: DFT, PBE
State: optimized geometry

```
CsCSe
1.0
4.656 0.000 0.000
0.000 1.634 5.479
0.000 -1.634 5.479
Cs C Se
1 1 1
direct
0.000 0.000 0.000
0.500 0.648 0.648
0.500 0.254 0.254
```

Values from the calculation:
Formation energy without anion corrections ... 654 meV/atom
Symmetry ... No. 38

No. 2
Material: TaMnRu2I
Method: DFT, PBE
State: optimized geometry

```
TaMnRu2I
1.0
4.398 0.000 0.000
0.000 4.398 0.000
0.000 0.000 4.860
Ta Mn Ru I
1 1 2 1
direct
0.000 0.000 0.000
0.500 0.500 0.500
0.000 0.500 0.500
0.500 0.000 0.500
0.500 0.500 0.000
```

Values from the calculation:
Formation energy without anion corrections ... 1532 meV/atom
Symmetry ... No. 123

No. 3
Material: DyThMgGa
Method: DFT, PBE
State: optimized geometry

```
DyThMgGa
1.0
0.000 3.710 3.710
3.710 0.000 3.710
3.710 3.710 0.000
Dy Th Mg Ga
1 1 1 1
direct
0.000 0.000 0.000
0.500 0.500 0.500
0.250 0.250 0.250
0.750 0.750 0.750
```

Values from the calculation:
Symmetry ... No. 216

No. 4
Material: Sc3SbC
Method: DFT, PBE
State: optimized geometry

```
Sc3SbC
1.0
2.959 1.708 6.983
-2.959 1.708 6.983
0.000 -3.416 6.983
Sc Sb C
6 2 2
direct
0.048 0.718 0.408
0.282 0.592 0.952
0.408 0.048 0.718
0.592 0.952 0.282
0.718 0.408 0.048
0.952 0.282 0.592
0.162 0.162 0.162
0.838 0.838 0.838
0.339 0.339 0.339
0.661 0.661 0.661
```

Values from the calculation:
Formation energy without anion corrections ... -503 meV/atom
Symmetry ... No. 148

No. 5
Material: Cs3ScTl
Method: DFT, PBE
State: optimized geometry

```
Cs3ScTl
1.0
7.034 0.000 0.000
0.000 7.034 0.000
0.000 0.000 7.034
Cs Sc Tl
3 1 1
direct
0.000 0.000 0.500
0.000 0.500 0.000
0.500 0.000 0.000
0.000 0.000 0.000
0.500 0.500 0.500
```

Values from the calculation:
Symmetry ... No. 221

No. 6
Material: Tb5Tl5Rh
Method: DFT, PBE
State: optimized geometry

```
Tb5Tl5Rh
1.0
7.701 -2.713 0.000
7.701 2.713 0.000
-4.908 0.000 7.890
Tb Tl Rh
5 5 1
direct
0.000 0.000 0.000
0.345 0.345 0.055
0.354 0.354 0.661
0.646 0.646 0.339
0.655 0.655 0.945
0.091 0.091 0.713
0.234 0.234 0.259
0.500 0.500 0.500
0.766 0.766 0.741
0.909 0.909 0.287
0.500 0.500 0.000
```

Values from the calculation:
Symmetry ... No. 12

no.,E (eV/atom)
1,-3.8666
2,-6.6930
3,-4.3884
4,-6.9708
5,-1.4189
6,-4.0971